(1)
Here is a geometry-optimized Hf3ReTc4 structure from the Alexandria database. Energies are from GGA-PBE.

Structure (extended XYZ):
```
8
Lattice="3.204 0.000 0.000 0.000 3.204 0.000 0.000 0.000 13.008" Properties=species:S:1:pos:R:3 pbc="T T T"
Re 1.602 1.602 0.000
Hf 1.602 1.602 3.231
Hf 1.602 1.602 6.504
Hf 1.602 1.602 9.777
Tc 0.000 0.000 11.508
Tc 0.000 0.000 1.500
Tc 0.000 0.000 4.825
Tc 0.000 0.000 8.183
```

Results
The magnetic moment is 0.00 μB per cell. For the energy relative to the elements, the calculation gives -2.71 eV/f.u. As for the space-group type: P4/mmm (123). As for the calculated density: 13.8 Mg/m³. The total energy comes out at -10.810 eV per atom. The value obtained for the calculated volume is 16.69 Å³/atom.

(2)
Here is a geometry-optimized Cs2LiTe structure from the Alexandria database. Energies are from GGA-PBE.

Structure (extended XYZ):
```
8
Lattice="-3.346 -0.328 -3.991 3.043 -10.448 -1.692 -6.182 -0.304 8.619" Properties=species:S:1:pos:R:3 pbc="T T T"
Cs -0.404 -6.053 0.810
Cs -6.080 -5.027 2.126
Cs -1.899 -0.827 1.688
Cs -4.585 -10.254 1.249
Li 0.651 -7.996 -3.215
Li -0.954 -2.780 -2.468
Te 0.718 -2.616 -0.473
Te -1.021 -8.160 -5.210
```

Results
The magnetic moment is 0.00 μB per cell. The value obtained for the relative energy among the computed polymorphs is 0.0 kJ per mole of atoms. As for the space-group type: C2/c (15). As for the calculated density: 2.3 Mg/m³. The calculation puts the formation energy from raw total energies at -0.66 eV/atom. The total energy comes out at -2.347 eV per atom. The value obtained for the calculated volume is 71.21 Å³/atom.

(3)
Here is a geometry-optimized HfMnP2 structure from the Alexandria database. Energies are from GGA-PBE.

Structure (extended XYZ):
```
4
Lattice="-2.806 1.354 3.080 -1.329 4.174 0.069 -4.124 1.004 -1.083" Properties=species:S:1:pos:R:3 pbc="T T T"
P -2.065 1.633 0.516
P -6.195 4.899 1.549
Mn 0.000 0.000 0.000
Hf -4.130 3.266 1.033
```

Results
The magnetic moment is 2.32 μB per cell. For the energy relative to the elements, the calculation gives -1.59 eV/f.u. The value obtained for the relative energy among the computed polymorphs is 25.3 kJ per mole of atoms. As for the space-group type: Fm-3m (225). As for the calculated density: 8.2 Mg/m³. The total energy comes out at -7.883 eV per atom. The value obtained for the calculated volume is 14.86 Å³/atom.

(4)
Here is a geometry-optimized AsPd4O structure from the Alexandria database. Energies are from GGA-PBE.

Structure (extended XYZ):
```
12
Lattice="5.726 0.088 0.000 -1.266 5.389 0.000 -2.230 -2.739 5.964" Properties=species:S:1:pos:R:3 pbc="T T T"
As -2.064 2.672 4.482
As 4.294 0.066 1.482
Pd 3.359 -0.978 3.636
Pd 1.710 1.493 5.465
Pd -0.496 1.022 3.636
Pd 1.153 -1.449 5.465
Pd 1.077 4.188 0.500
Pd 2.726 1.717 2.328
Pd 0.520 1.245 0.500
Pd -1.129 3.716 2.328
O 0.799 2.717 2.040
O 1.431 0.022 3.924
```

Results
The magnetic moment is 0.00 μB per cell. As for the space-group type: C2/c (15). As for the calculated density: 9.3 Mg/m³. The calculation puts the formation energy from raw total energies at -0.18 eV/atom. The total energy comes out at -5.240 eV per atom. The value obtained for the calculated volume is 15.39 Å³/atom.

(5)
Here is a geometry-optimized Th3Rh5 structure from the Alexandria database. Energies are from GGA-PBE.

Structure (extended XYZ):
```
8
Lattice="6.001 -0.446 0.000 -1.015 5.931 0.000 0.000 0.000 4.624" Properties=species:S:1:pos:R:3 pbc="T T T"
Th 2.493 2.743 0.000
Th 0.376 4.668 2.312
Th 4.611 0.818 2.312
Rh 0.000 0.000 0.000
Rh 3.001 -0.223 0.000
Rh -0.507 2.966 0.000
Rh 1.467 1.614 2.312
Rh 3.519 3.872 2.312
```

Results
The magnetic moment is 0.00 μB per cell. For the energy relative to the elements, the calculation gives -6.56 eV/f.u. As for the space-group type: Cmmm (65). As for the calculated density: 12.4 Mg/m³. The total energy comes out at -8.197 eV per atom. The value obtained for the calculated volume is 20.31 Å³/atom.

(6)
Here is a geometry-optimized Th3Al2Cu9 structure from the Alexandria database. Energies are from GGA-PBE.

Structure (extended XYZ):
```
14
Lattice="-4.267 0.169 -0.247 -2.084 -5.955 -5.100 -2.616 -6.858 3.456" Properties=species:S:1:pos:R:3 pbc="T T T"
Th 0.000 0.000 0.000
Th -4.390 -3.521 -0.644
Th -4.577 -9.122 -1.247
Al -4.578 -6.482 0.578
Al -4.389 -6.161 -2.469
Cu -2.350 -6.406 -0.822
Cu -6.687 -10.565 -2.805
Cu -2.279 -2.078 0.914
Cu -6.843 -10.830 -0.293
Cu -2.123 -1.813 -1.598
Cu -6.562 -7.753 -3.042
Cu -2.404 -4.890 1.151
Cu -6.785 -8.131 0.537
Cu -2.182 -4.512 -2.428
```

Results
The magnetic moment is 0.00 μB per cell. For the energy relative to the elements, the calculation gives -3.35 eV/f.u. As for the space-group type: Immm (71). As for the calculated density: 9.1 Mg/m³. The total energy comes out at -4.997 eV per atom. The value obtained for the calculated volume is 17.20 Å³/atom.

(7)
Here is a geometry-optimized TbCePrY3 structure from the Alexandria database. Energies are from GGA-PBE.

Structure (extended XYZ):
```
12
Lattice="5.092 0.000 0.000 -2.546 7.589 0.000 0.000 0.000 10.167" Properties=species:S:1:pos:R:3 pbc="T T T"
Tb 2.546 5.061 7.626
Tb 0.000 2.528 2.542
Ce 0.000 7.572 7.626
Ce 2.546 0.017 2.542
Pr 0.000 0.000 5.084
Pr 0.000 0.000 0.000
Y 2.546 2.512 5.082
Y 0.000 5.077 5.085
Y 0.000 5.077 10.166
Y 2.546 2.512 0.002
Y 0.000 2.531 7.626
Y 2.546 5.057 2.542
```

Results
The magnetic moment is 1.97 μB per cell. For the energy relative to the elements, the calculation gives 0.37 eV/f.u. As for the space-group type: Cmcm (63). As for the calculated density: 6.0 Mg/m³. The total energy comes out at -5.728 eV per atom. The value obtained for the calculated volume is 32.74 Å³/atom.

(8)
Here is a geometry-optimized YCuRe structure from the Alexandria database. Energies are from GGA-PBE.

Structure (extended XYZ):
```
3
Lattice="-0.676 -5.348 0.830 2.337 -4.175 -2.618 0.952 4.781 2.445" Properties=species:S:1:pos:R:3 pbc="T T T"
Cu 1.607 -9.211 -1.730
Re 0.605 -3.466 -0.651
Y 1.111 -6.368 -1.196
```

Results
The magnetic moment is 0.00 μB per cell. For the energy relative to the elements, the calculation gives 0.99 eV/f.u. The value obtained for the relative energy among the computed polymorphs is 0.0 kJ per mole of atoms. As for the space-group type: Imm2 (44). As for the calculated density: 10.2 Mg/m³. The total energy comes out at -7.340 eV per atom. The value obtained for the calculated volume is 18.30 Å³/atom.